First-principles (PBE+U) data for crystalline W2NF2 at its relaxed geometry, as listed in the Alexandria database.

The structure belongs to space group I4/mmm (No. 139); the cell edges are 4.4539, 4.4539 and 7.3326 Å and the angles 90.00°, 90.00° and 90.00°. The inequivalent atoms are W at (0.0000, 0.5000, 0.2500), N at (0.0000, 0.0000, 0.0000) and F at (0.0000, 0.0000, 0.3450).

The energy above the most stable polymorph in this dataset is 1421.4 meV/atom. Its crystal system is tetragonal.